No. 1
# Rb4AgAs2 | Alexandria | PBE | optimized geometry
data_Rb4AgAs2
_cell_length_a 5.979
_cell_length_b 5.979
_cell_length_c 10.297
_cell_angle_alpha 73.12
_cell_angle_beta 73.12
_cell_angle_gamma 60.00
_symmetry_space_group_name_H-M 'P 1'
_symmetry_Int_Tables_number 1
_symmetry_space_group_name_Hall 'P 1'
loop_
_atom_site_label
_atom_site_type_symbol
_atom_site_fract_x
_atom_site_fract_y
_atom_site_fract_z
As1 As 0.085 0.085 0.744
Rb1 Rb 0.793 0.793 0.622
Rb2 Rb 0.207 0.207 0.378
Rb3 Rb 0.380 0.380 0.860
Ag1 Ag 0.000 0.000 0.000
Rb4 Rb 0.620 0.620 0.140
As2 As 0.915 0.915 0.256
# * space group: R-3m
# * DFT total energy: -18.1 eV/cell



No. 2
# CaSi4Mo | Alexandria | PBE | optimized geometry
data_CaSi4Mo
_cell_length_a 5.098
_cell_length_b 5.098
_cell_length_c 5.098
_cell_angle_alpha 60.00
_cell_angle_beta 60.00
_cell_angle_gamma 60.00
_symmetry_space_group_name_H-M 'P 1'
_symmetry_Int_Tables_number 1
_symmetry_space_group_name_Hall 'P 1'
loop_
_atom_site_label
_atom_site_type_symbol
_atom_site_fract_x
_atom_site_fract_y
_atom_site_fract_z
Mo1 Mo 0.000 0.000 0.000
Si1 Si 0.373 0.880 0.373
Si2 Si 0.373 0.373 0.373
Si3 Si 0.880 0.373 0.373
Ca1 Ca 0.750 0.750 0.750
Si4 Si 0.373 0.373 0.880
# * space group: F-43m
# * uncorrected formation energy: 0.268 eV/atom
# * DFT total energy: -32.9 eV/cell



No. 3
# Ta4V3Rh | Alexandria | PBE | optimized geometry
data_Ta4V3Rh
_cell_length_a 4.465
_cell_length_b 6.354
_cell_length_c 8.931
_cell_angle_alpha 90.00
_cell_angle_beta 90.00
_cell_angle_gamma 90.00
_symmetry_space_group_name_H-M 'P 1'
_symmetry_Int_Tables_number 1
_symmetry_space_group_name_Hall 'P 1'
loop_
_atom_site_label
_atom_site_type_symbol
_atom_site_fract_x
_atom_site_fract_y
_atom_site_fract_z
Rh1 Rh 0.000 0.500 0.000
V1 V 0.500 0.000 0.250
V2 V 0.000 0.000 0.500
Rh2 Rh 0.000 0.500 0.500
V3 V 0.000 0.000 0.000
Ta1 Ta 0.500 0.754 0.500
Ta2 Ta 0.000 0.246 0.750
V4 V 0.500 0.500 0.750
Ta3 Ta 0.500 0.246 0.000
V5 V 0.500 0.500 0.250
V6 V 0.500 0.000 0.750
Ta4 Ta 0.500 0.754 0.000
Ta5 Ta 0.500 0.246 0.500
Ta6 Ta 0.000 0.754 0.250
Ta7 Ta 0.000 0.754 0.750
Ta8 Ta 0.000 0.246 0.250
# * space group: P4/mmm
# * DFT total energy: -166.9 eV/cell